Entry 1:
First-principles (PBE with a Hubbard U) data for a geometry-optimized CrNiIrO6 structure, as listed in the Alexandria database.

Cell and atoms, written as POSCAR:
```
CrNiIrO6
1.0
-1.290 -0.698 4.832
0.328 -3.955 -3.123
8.388 -0.962 2.100
O Ir Cr Ni
12 2 2 2
Cartesian
6.978 -2.473 2.403
0.448 -3.142 1.406
2.046 -3.614 3.561
7.516 -3.429 -0.183
-0.090 -2.187 3.992
2.274 -0.837 3.921
0.626 -0.393 1.953
6.800 -5.223 1.856
4.651 -3.643 2.409
5.380 -2.002 0.249
5.151 -4.779 -0.111
2.775 -1.973 1.401
6.079 -3.591 1.104
1.346 -2.024 2.706
5.540 -2.506 3.756
1.886 -3.110 0.054
0.000 0.000 0.000
4.194 -0.481 1.050
```

Values from the calculation:
theoretical density: 6.895 g cm⁻³
total energy: -6.3879 eV per atom
space-group type: P-31c (163)



Entry 2:
First-principles (PBE with a Hubbard U) data for a geometry-optimized CrNi2IrO6 structure, as listed in the Alexandria database.

Cell and atoms, written as POSCAR:
```
CrNi2IrO6
1.0
-0.904 3.442 -1.295
-5.518 -1.453 -0.010
-0.506 1.885 5.362
O Ni Ir Cr
6 2 1 1
Cartesian
-4.937 1.947 0.370
-3.187 0.884 2.425
-2.182 2.673 0.375
-2.434 3.614 3.052
-0.181 0.690 -0.260
-5.190 2.889 3.047
-3.528 2.201 -1.107
-1.022 3.870 1.579
-0.628 2.392 -0.900
-3.623 2.543 1.800
```

Values from the calculation:
theoretical density: 6.162 g cm⁻³
total energy: -5.8507 eV per atom
space-group type: P4mm (99)



Look up the total energy of the first one.
-6.3879 eV per atom



total energy of number 1 (CrNiIrO6)?
-6.3879 eV per atom



Which of these has the lowest total energy?
CrNiIrO6